Record 1
A geometry-optimized PaCuSbPd structure. Source: the Alexandria database, functional PBE.

## Properties
E: -97.51 eV for the cell shown

Cell: 6.803 6.803 6.803 Å, 90.00 90.00 90.00°
Space group F-43m (No. 216)
Unique sites:
Pa 0.000 0.000 0.000
Cu 0.250 0.250 0.750
Sb 0.000 0.000 0.500
Pd 0.250 0.250 0.250


Record 2
A geometry-optimized Pa2CuSi4Pd3 structure. Source: the Alexandria database, functional PBE.

## Properties
E: -66.89 eV for the cell shown

Cell: 4.199 4.199 9.710 Å, 90.00 90.00 90.00°
Space group P-4m2 (No. 115)
Unique sites:
Pa 0.000 0.500 0.247
Cu 0.500 0.500 0.000
Si 0.000 0.000 0.500
Si 0.000 0.500 0.869
Si 0.500 0.500 0.500
Pd 0.000 0.000 0.000
Pd 0.000 0.500 0.622


Number 1: ΔE_f (raw) -35.4 kJ per mole of atoms, total magnetization 0.17 Bohr magnetons per cell. Number 2: ΔE_f (raw) -63.0 kJ per mole of atoms, total magnetization 0.00 Bohr magnetons per cell.